# 1
Computed, not measured: crystalline NaAl2Cu at its relaxed geometry at the PBE-GGA level of DFT.

a b c (Å): 2.9390 2.9390 9.5461
angles (deg): 81.14 81.14 60.00
Atoms (fractional coordinates):
Al1 0.2636 0.2636 0.2091
Al2 0.7364 0.7364 0.7909
Cu1 0.0000 0.0000 0.0000
Na1 0.5000 0.5000 0.5000


# 2
Computed, not measured: crystalline YMg2Ga4 at its relaxed geometry at the PBE-GGA level of DFT.

a b c (Å): 5.9087 5.8544 8.7499
angles (deg): 109.54 97.10 90.00
Atoms (fractional coordinates):
Y1 0.2500 0.7705 0.0000
Y2 0.7500 0.2295 0.0000
Mg1 0.8477 0.2326 0.6116
Mg2 0.3477 0.3790 0.6116
Mg3 0.1523 0.7674 0.3884
Mg4 0.6523 0.6210 0.3884
Ga1 0.2900 0.3545 0.1521
Ga2 0.4722 0.8866 0.6800
Ga3 0.2100 0.2024 0.8479
Ga4 0.5278 0.1134 0.3200
Ga5 0.0278 0.2066 0.3200
Ga6 0.7100 0.6455 0.8479
Ga7 0.9722 0.7934 0.6800
Ga8 0.7900 0.7976 0.1521


| no. | energy of formation from the pure elements (eV/atom) | DOS at the Fermi energy (states/eV/f.u.) | calculated volume (Å³/atom) |
| --- | --- | --- | --- |
| 1 | 0.11 | 1.84 | 17.6 |
| 2 | -0.34 | 2.73 | 20.2 |